# 1
# RbGaPCl2 GGA-PBE relaxed
data_RbGaPCl2
_chemical_formula_sum 'Rb1 Ga1 P1 Cl2'
_cell_length_a 6.1623
_cell_length_b 6.1623
_cell_length_c 6.2065
_cell_angle_alpha 90.00
_cell_angle_beta 90.00
_cell_angle_gamma 90.00
_symmetry_space_group_name_H-M 'P 1'
_symmetry_Int_Tables_number 1
loop_
_symmetry_equiv_pos_as_xyz
'x,y,z'
loop_
_atom_site_label
_atom_site_type_symbol
_atom_site_fract_x
_atom_site_fract_y
_atom_site_fract_z
_atom_site_occupancy
Rb1 Rb 0.0000 0.0000 0.0000 1
Ga1 Ga 0.5000 0.5000 0.5000 1
P1 P 0.0000 0.0000 0.5000 1
Cl1 Cl 0.0000 0.5000 0.0000 1
Cl2 Cl 0.5000 0.0000 0.0000 1
# Raw formation energy, meV per atom: 127
# Energy above the most stable polymorph in this dataset, meV per atom: 765

# 2
# NaTl2Bi2Pb2 GGA-PBE relaxed
data_NaTl2Bi2Pb2
_chemical_formula_sum 'Na1 Tl2 Bi2 Pb2'
_cell_length_a 5.8114
_cell_length_b 5.8114
_cell_length_c 10.3244
_cell_angle_alpha 116.21
_cell_angle_beta 116.21
_cell_angle_gamma 50.43
_symmetry_space_group_name_H-M 'P 1'
_symmetry_Int_Tables_number 1
loop_
_symmetry_equiv_pos_as_xyz
'x,y,z'
loop_
_atom_site_label
_atom_site_type_symbol
_atom_site_fract_x
_atom_site_fract_y
_atom_site_fract_z
_atom_site_occupancy
Na1 Na 0.0000 0.0000 0.0000 1
Tl1 Tl 0.2362 0.2362 0.8680 1
Tl2 Tl 0.7638 0.7638 0.1320 1
Bi1 Bi 0.4825 0.4825 0.7398 1
Bi2 Bi 0.5175 0.5175 0.2602 1
Pb1 Pb 0.2686 0.2686 0.3809 1
Pb2 Pb 0.7314 0.7314 0.6191 1
# Fermi-level density of states, states/eV/cell: 2.49
# Formation energy, eV/atom: -0.07

# 3
# TbErMnAg GGA-PBE relaxed
data_TbErMnAg
_chemical_formula_sum 'Tb1 Er1 Mn1 Ag1'
_cell_length_a 5.0788
_cell_length_b 5.0788
_cell_length_c 5.0788
_cell_angle_alpha 60.00
_cell_angle_beta 60.00
_cell_angle_gamma 60.00
_symmetry_space_group_name_H-M 'P 1'
_symmetry_Int_Tables_number 1
loop_
_symmetry_equiv_pos_as_xyz
'x,y,z'
loop_
_atom_site_label
_atom_site_type_symbol
_atom_site_fract_x
_atom_site_fract_y
_atom_site_fract_z
_atom_site_occupancy
Tb1 Tb 0.0000 0.0000 0.0000 1
Er1 Er 0.5000 0.5000 0.5000 1
Mn1 Mn 0.7500 0.7500 0.7500 1
Ag1 Ag 0.2500 0.2500 0.2500 1
# Fermi-level density of states, states/eV/cell: 4.28
# Formation energy, eV/atom: -0.01

# 4
# CrIn3Pt GGA-PBE relaxed
data_CrIn3Pt
_chemical_formula_sum 'Cr1 In3 Pt1'
_cell_length_a 5.1784
_cell_length_b 5.1784
_cell_length_c 5.1784
_cell_angle_alpha 90.00
_cell_angle_beta 90.00
_cell_angle_gamma 90.00
_symmetry_space_group_name_H-M 'P 1'
_symmetry_Int_Tables_number 1
loop_
_symmetry_equiv_pos_as_xyz
'x,y,z'
loop_
_atom_site_label
_atom_site_type_symbol
_atom_site_fract_x
_atom_site_fract_y
_atom_site_fract_z
_atom_site_occupancy
Cr1 Cr 0.0000 0.0000 0.0000 1
In1 In 0.0000 0.5000 0.5000 1
In2 In 0.5000 0.0000 0.5000 1
In3 In 0.5000 0.5000 0.0000 1
Pt1 Pt 0.5000 0.5000 0.5000 1
# Fermi-level density of states, states/eV/cell: 2.24
# Formation energy, eV/atom: 0.32
# Energy above the most stable polymorph in this dataset, meV per atom: 0

# 5
# Be3NiB GGA-PBE relaxed
data_Be3NiB
_chemical_formula_sum 'Be3 Ni1 B1'
_cell_length_a 3.8839
_cell_length_b 3.8839
_cell_length_c 3.8839
_cell_angle_alpha 90.00
_cell_angle_beta 90.00
_cell_angle_gamma 90.00
_symmetry_space_group_name_H-M 'P 1'
_symmetry_Int_Tables_number 1
loop_
_symmetry_equiv_pos_as_xyz
'x,y,z'
loop_
_atom_site_label
_atom_site_type_symbol
_atom_site_fract_x
_atom_site_fract_y
_atom_site_fract_z
_atom_site_occupancy
Be1 Be 0.0000 0.0000 0.5000 1
Be2 Be 0.0000 0.5000 0.0000 1
Be3 Be 0.5000 0.0000 0.0000 1
Ni1 Ni 0.0000 0.0000 0.0000 1
B1 B 0.5000 0.5000 0.5000 1
# Fermi-level density of states, states/eV/cell: 1.69
# Formation energy, eV/atom: 1.17
# Energy above the most stable polymorph in this dataset, meV per atom: 966

# 6
# Ni2BAu GGA-PBE relaxed
data_Ni2BAu
_chemical_formula_sum 'Ni2 B1 Au1'
_cell_length_a 6.2772
_cell_length_b 6.2772
_cell_length_c 6.2772
_cell_angle_alpha 27.92
_cell_angle_beta 27.92
_cell_angle_gamma 27.92
_symmetry_space_group_name_H-M 'P 1'
_symmetry_Int_Tables_number 1
loop_
_symmetry_equiv_pos_as_xyz
'x,y,z'
loop_
_atom_site_label
_atom_site_type_symbol
_atom_site_fract_x
_atom_site_fract_y
_atom_site_fract_z
_atom_site_occupancy
Ni1 Ni 0.2183 0.2183 0.2183 1
Ni2 Ni 0.7817 0.7817 0.7817 1
B1 B 0.5000 0.5000 0.5000 1
Au1 Au 0.0000 0.0000 0.0000 1
# Fermi-level density of states, states/eV/cell: 1.34
# Formation energy, eV/atom: -0.09

# 7
# Ca2HSe GGA-PBE relaxed
data_Ca2HSe
_chemical_formula_sum 'Ca2 H1 Se1'
_cell_length_a 6.7397
_cell_length_b 6.7397
_cell_length_c 6.7397
_cell_angle_alpha 34.83
_cell_angle_beta 34.83
_cell_angle_gamma 34.83
_symmetry_space_group_name_H-M 'P 1'
_symmetry_Int_Tables_number 1
loop_
_symmetry_equiv_pos_as_xyz
'x,y,z'
loop_
_atom_site_label
_atom_site_type_symbol
_atom_site_fract_x
_atom_site_fract_y
_atom_site_fract_z
_atom_site_occupancy
Ca1 Ca 0.2424 0.2424 0.2424 1
Ca2 Ca 0.7576 0.7576 0.7576 1
H1 H 0.5000 0.5000 0.5000 1
Se1 Se 0.0000 0.0000 0.0000 1
# Fermi-level density of states, states/eV/cell: 2.22
# Energy above the most stable polymorph in this dataset, meV per atom: 0

# 8
# ZnSnAu4 GGA-PBE relaxed
data_ZnSnAu4
_chemical_formula_sum 'Zn1 Sn1 Au4'
_cell_length_a 3.6291
_cell_length_b 3.6621
_cell_length_c 8.5694
_cell_angle_alpha 92.52
_cell_angle_beta 90.12
_cell_angle_gamma 90.32
_symmetry_space_group_name_H-M 'P 1'
_symmetry_Int_Tables_number 1
loop_
_symmetry_equiv_pos_as_xyz
'x,y,z'
loop_
_atom_site_label
_atom_site_type_symbol
_atom_site_fract_x
_atom_site_fract_y
_atom_site_fract_z
_atom_site_occupancy
Zn1 Zn 0.0000 0.0000 0.0000 1
Sn1 Sn 0.5000 0.5000 0.5000 1
Au1 Au 0.0015 0.9770 0.3209 1
Au2 Au 0.4982 0.4609 0.1579 1
Au3 Au 0.5018 0.5391 0.8421 1
Au4 Au 0.9985 0.0230 0.6791 1
# Fermi-level density of states, states/eV/cell: 1.19
# Formation energy, eV/atom: -0.10
# Energy above the most stable polymorph in this dataset, meV per atom: 0